Entry from Alexandria via LeMat-Bulk: a geometry-optimized TcRu3W structure (GGA-PBE).

Cell and atoms, written as POSCAR:
```
TcRu3W
1.0
4.541 0.000 0.000
0.000 4.541 0.000
0.000 0.000 4.541
Ru Tc W
3 1 1
direct
0.000 0.500 0.000
0.000 0.000 0.500
0.500 0.000 0.000
0.000 0.000 0.000
0.500 0.500 0.500
```

Summary:
Its excess energy over the best structure of this formula in the dataset is 1703 meV per atom. For the volume, the calculation gives 93.6 Å³/cell. The value obtained for the formation energy is 2018.4 meV per atom. The size of the total moment is 0.0 μB per cell. The calculation puts the raw total energy at -41.1 eV per cell.